Record 1
A plane-wave DFT calculation with meta-GGA SCAN was carried out for a PBEsol-optimized structure of CdIn3Ga.

Cell lengths 5.2516, 5.2516, 5.2516 Å; angles 90.00, 90.00, 90.00 degrees
Last column: nearest neighbours and their distance in Å.
Space group Pm-3m (No. 221)
Symmetry-distinct sites (fractional):
Cd1 0.0000 0.0000 0.0000  12 In 3.71
In1 0.0000 0.5000 0.5000  2 Ga 2.63
Ga1 0.5000 0.5000 0.5000  6 In 2.63

Results
formation energy from the elements = 0.321 eV per atom
spin magnetization = 0.0000 μB per atom

Record 2
A plane-wave DFT calculation with meta-GGA SCAN was carried out for a PBEsol-optimized structure of MgCdIn2Ga.

Cell lengths 5.3483, 5.3483, 5.0294 Å; angles 90.00, 90.00, 90.00 degrees
Last column: nearest neighbours and their distance in Å.
Space group P4/mmm (No. 123)
Symmetry-distinct sites (fractional):
Mg1 0.0000 0.0000 0.0000  8 In 3.67, 4 Cd 3.78
Cd1 0.5000 0.5000 0.0000  2 Ga 2.51
In1 0.0000 0.5000 0.5000  2 Ga 2.67
Ga1 0.5000 0.5000 0.5000  2 Cd 2.51, 4 In 2.67

Results
formation energy from the elements = 0.324 eV per atom
spin magnetization = 0.0000 μB per atom

| no. | calculated total energy (eV/atom) |
| --- | --- |
| 1 | -29.063 |
| 2 | -23.377 |